Density functional theory data (PBE with a Hubbard U) for an optimized crystal structure of CoAsNO.

Output
As for the space group: Cmme, No. 67. The energy is -5.663 eV per atom. The total moment comes out at 0.70 μB/atom. For the calculated volume, the calculation gives 85.6 Å³/cell.

Cell lengths 4.4348, 4.4348, 4.3514 Å; angles 90.00, 90.00, 89.30 degrees
With the nearest neighbours (Å) after each atom.
Fractional positions:
1 Co 0.2500 0.2500 0.0020  2 N 2.17-2.18, 4 O 2.22
2 Co 0.7500 0.7500 0.9980  2 N 2.17-2.18, 4 O 2.22
3 O 0.2500 0.7500 0.0000  2 As 2.18, 4 Co 2.22
4 O 0.7500 0.2500 0.0000  2 As 2.18, 4 Co 2.22
5 N 0.2500 0.2500 0.5024  2 Co 2.17-2.18, 4 As 2.22
6 N 0.7500 0.7500 0.4976  2 Co 2.17-2.18, 4 As 2.22
7 As 0.2500 0.7500 0.5000  2 O 2.18, 4 N 2.22
8 As 0.7500 0.2500 0.5000  2 O 2.18, 4 N 2.22